Entry 1:
# ReAsSeBr2, optimized geometry, DFT PBE-GGA
data_ReAsSeBr2
_chemical_formula_sum 'Re1 As1 Se1 Br2'
_cell_length_a 5.1144
_cell_length_b 5.1144
_cell_length_c 5.4875
_cell_angle_alpha 90.00
_cell_angle_beta 90.00
_cell_angle_gamma 90.00
_space_group_name_H-M_alt 'P 4/m m m'
_space_group_IT_number 123
_space_group_name_Hall '-P 4 2'
loop_
_atom_site_label
_atom_site_type_symbol
_atom_site_fract_x
_atom_site_fract_y
_atom_site_fract_z
_atom_site_occupancy
Re1 Re 0.0000 0.0000 0.0000 1
As1 As 0.5000 0.5000 0.0000 1
Se1 Se 0.5000 0.5000 0.5000 1
Br1 Br 0.0000 0.5000 0.5000 1
# - Formation energy without anion corrections: 1.492 eV per atom
# - DOS at the Fermi energy: 0.6527 states/eV/atom

***

Entry 2:
# TiV2B, optimized geometry, DFT PBE-GGA
data_TiV2B
_chemical_formula_sum 'Ti4 V8 B4'
_cell_length_a 6.7445
_cell_length_b 6.7445
_cell_length_c 4.5135
_cell_angle_alpha 90.00
_cell_angle_beta 90.00
_cell_angle_gamma 90.00
_space_group_name_H-M_alt 'I -4 2 d'
_space_group_IT_number 122
_space_group_name_Hall 'I -4 2bw'
loop_
_atom_site_label
_atom_site_type_symbol
_atom_site_fract_x
_atom_site_fract_y
_atom_site_fract_z
_atom_site_occupancy
Ti1 Ti 0.0000 0.0000 0.0000 1
V1 V 0.1880 0.2500 0.6250 1
B1 B 0.0000 0.0000 0.5000 1
# - Calculated formation energy: 0.134 eV/atom
# - DOS at the Fermi energy: 1.0025 states/eV/atom

***

Entry 3:
# AsSe3O9, optimized geometry, DFT PBE-GGA
data_AsSe3O9
_chemical_formula_sum 'As4 Se12 O36'
_cell_length_a 15.6029
_cell_length_b 6.6516
_cell_length_c 9.4418
_cell_angle_alpha 90.00
_cell_angle_beta 120.73
_cell_angle_gamma 90.00
_space_group_name_H-M_alt 'C 1 c 1'
_space_group_IT_number 9
loop_
_space_group_symop_operation_xyz
'x,y,z'
'x,-y,z+1/2'
'x+1/2,y+1/2,z'
'x+1/2,-y+1/2,z+1/2'
loop_
_atom_site_label
_atom_site_type_symbol
_atom_site_fract_x
_atom_site_fract_y
_atom_site_fract_z
_atom_site_occupancy
As1 As 0.0000 0.2146 0.0000 1
Se1 Se 0.1153 0.1599 0.4091 1
Se2 Se 0.2895 0.4466 0.8346 1
Se3 Se 0.3987 0.0864 0.1192 1
O1 O 0.0013 0.3144 0.7924 1
O2 O 0.0041 0.1779 0.2009 1
O3 O 0.0492 0.0341 0.4998 1
O4 O 0.1796 0.4575 0.2734 1
O5 O 0.1870 0.0089 0.8963 1
O6 O 0.2997 0.2899 0.7118 1
O7 O 0.3393 0.3497 0.0346 1
O8 O 0.3636 0.3335 0.3742 1
O9 O 0.4483 0.0331 0.0018 1
# - Formation energy without anion corrections: -0.608 eV per atom
# - DOS at the Fermi energy: 0.1334 states/eV/atom

***

Entry 4:
# Nd2Tm3Al4, optimized geometry, DFT PBE-GGA
data_Nd2Tm3Al4
_chemical_formula_sum 'Nd8 Tm12 Al16'
_cell_length_a 6.3106
_cell_length_b 19.1378
_cell_length_c 7.7646
_cell_angle_alpha 90.00
_cell_angle_beta 90.00
_cell_angle_gamma 90.00
_space_group_name_H-M_alt 'C m c e'
_space_group_IT_number 64
_space_group_name_Hall '-C 2ac 2'
loop_
_atom_site_label
_atom_site_type_symbol
_atom_site_fract_x
_atom_site_fract_y
_atom_site_fract_z
_atom_site_occupancy
Nd1 Nd 0.0000 0.0885 0.1017 1
Tm1 Tm 0.0000 0.0000 0.5000 1
Tm2 Tm 0.2500 0.2491 0.7500 1
Al1 Al 0.0000 0.1538 0.4943 1
Al2 Al 0.2500 0.0851 0.7500 1
# - Calculated formation energy: -0.209 eV/atom
# - DOS at the Fermi energy: 1.0611 states/eV/atom

***

Entry 5:
# LaNbSe2Br, optimized geometry, DFT PBE-GGA
data_LaNbSe2Br
_chemical_formula_sum 'La1 Nb1 Se2 Br1'
_cell_length_a 5.7583
_cell_length_b 5.7583
_cell_length_c 5.5854
_cell_angle_alpha 90.00
_cell_angle_beta 90.00
_cell_angle_gamma 90.00
_space_group_name_H-M_alt 'P 4/m m m'
_space_group_IT_number 123
_space_group_name_Hall '-P 4 2'
loop_
_atom_site_label
_atom_site_type_symbol
_atom_site_fract_x
_atom_site_fract_y
_atom_site_fract_z
_atom_site_occupancy
La1 La 0.0000 0.0000 0.0000 1
Nb1 Nb 0.5000 0.5000 0.5000 1
Se1 Se 0.0000 0.5000 0.0000 1
Br1 Br 0.0000 0.0000 0.5000 1
# - Formation energy without anion corrections: -0.004 eV per atom
# - DOS at the Fermi energy: 1.2522 states/eV/atom

***

Entry 6:
# Mg2CuPd7, optimized geometry, DFT PBE-GGA
data_Mg2CuPd7
_chemical_formula_sum 'Mg4 Cu2 Pd14'
_cell_length_a 8.3175
_cell_length_b 15.4265
_cell_length_c 2.7704
_cell_angle_alpha 90.00
_cell_angle_beta 90.00
_cell_angle_gamma 90.00
_space_group_name_H-M_alt 'C m m m'
_space_group_IT_number 65
_space_group_name_Hall '-C 2 2'
loop_
_atom_site_label
_atom_site_type_symbol
_atom_site_fract_x
_atom_site_fract_y
_atom_site_fract_z
_atom_site_occupancy
Mg1 Mg 0.0000 0.1739 0.0000 1
Cu1 Cu 0.0000 0.5000 0.5000 1
Pd1 Pd 0.0000 0.0000 0.0000 1
Pd2 Pd 0.0000 0.3173 0.5000 1
Pd3 Pd 0.2219 0.4100 0.0000 1
# - Calculated formation energy: 0.000 eV/atom
# - DOS at the Fermi energy: 0.5929 states/eV/atom

***

Entry 7:
# Ac2HgGeIr, optimized geometry, DFT PBE-GGA
data_Ac2HgGeIr
_chemical_formula_sum 'Ac4 Hg2 Ge2 Ir2'
_cell_length_a 8.6318
_cell_length_b 4.5665
_cell_length_c 8.6503
_cell_angle_alpha 90.00
_cell_angle_beta 118.33
_cell_angle_gamma 90.00
_space_group_name_H-M_alt 'P 1 21/m 1'
_space_group_IT_number 11
loop_
_space_group_symop_operation_xyz
'x,y,z'
'-x,-y,-z'
'-x,y+1/2,-z'
'x,-y+1/2,z'
loop_
_atom_site_label
_atom_site_type_symbol
_atom_site_fract_x
_atom_site_fract_y
_atom_site_fract_z
_atom_site_occupancy
Ac1 Ac 0.1077 0.2500 0.3501 1
Ac2 Ac 0.3497 0.7500 0.1057 1
Hg1 Hg 0.3317 0.7500 0.6689 1
Ge1 Ge 0.2139 0.2500 0.7842 1
Ir1 Ir 0.0449 0.2500 0.9543 1
# - Calculated formation energy: -0.583 eV/atom
# - DOS at the Fermi energy: 0.6524 states/eV/atom

***

Entry 8:
# Rb2AcClO2, optimized geometry, DFT PBE-GGA
data_Rb2AcClO2
_chemical_formula_sum 'Rb2 Ac1 Cl1 O2'
_cell_length_a 4.8629
_cell_length_b 4.8629
_cell_length_c 6.8503
_cell_angle_alpha 90.00
_cell_angle_beta 90.00
_cell_angle_gamma 90.00
_space_group_name_H-M_alt 'P 4/m m m'
_space_group_IT_number 123
_space_group_name_Hall '-P 4 2'
loop_
_atom_site_label
_atom_site_type_symbol
_atom_site_fract_x
_atom_site_fract_y
_atom_site_fract_z
_atom_site_occupancy
Rb1 Rb 0.0000 0.0000 0.2499 1
Ac1 Ac 0.5000 0.5000 0.0000 1
Cl1 Cl 0.5000 0.5000 0.5000 1
O1 O 0.0000 0.5000 0.0000 1
# - Formation energy without anion corrections: -2.151 eV per atom
# - DOS at the Fermi energy: 0.0000 states/eV/atom